Version A
Compound: ZrTi3Al
Source: the Alexandria database
Functional: meta-GGA SCAN
Structure: single point on PBEsol structure

## Properties
DOS(E_F) ... 5.45 states/eV/f.u.
Volume ... 104.03 Å³/cell
Total moment ... 0.43 μB per atom
Theoretical density ... 4.18 g/cm³
Symmetry ... No. 221

Cell: 4.703 4.703 4.703 Å, 90.00 90.00 90.00°
Fractional coordinates of all 5 atoms:
Zr  0.000  0.000  0.000
Ti  0.000  0.000  0.500
Ti  0.000  0.500  0.000
Ti  0.500  0.000  0.000
Al  0.500  0.500  0.500

Version B
Compound: ZrTi3Al
Source: the Alexandria database
Functional: meta-GGA SCAN
Structure: single point on PBEsol structure

## Properties
DOS(E_F) ... 4.94 states/eV/f.u.
Volume ... 102.64 Å³/cell
Total moment ... 0.62 μB per atom
Theoretical density ... 4.24 g/cm³
Symmetry ... No. 221

Cell: 4.682 4.682 4.682 Å, 90.00 90.00 90.00°
Fractional coordinates of all 5 atoms:
Zr  0.000  0.000  0.000
Ti  0.000  0.500  0.500
Ti  0.500  0.000  0.500
Ti  0.500  0.500  0.000
Al  0.500  0.500  0.500

The structure with the most favorable energy is version B; the runner-up is 44.9 kJ/mol of atoms above it.

Version A
Compound: AlTlW2
Source: the Alexandria database
Functional: meta-GGA SCAN
Structure: single point on PBEsol structure

## Properties
DOS(E_F) ... 2.24 states/eV/f.u.
Volume ... 135.85 Å³/cell
Total moment ... 0.00 μB per atom
Theoretical density ... 14.64 g/cm³
Symmetry ... No. 44

Cell: 3.376 4.560 8.825 Å, 90.00 90.00 90.00°
Fractional coordinates of all 8 atoms:
Al  0.000  0.000  0.000
Al  0.500  0.500  0.500
Tl  0.000  0.500  0.762
Tl  0.500  0.000  0.262
W  0.000  0.000  0.530
W  0.000  0.500  0.254
W  0.500  0.000  0.754
W  0.500  0.500  0.030

Version B
Compound: AlTlW2
Source: the Alexandria database
Functional: meta-GGA SCAN
Structure: single point on PBEsol structure

## Properties
DOS(E_F) ... 2.27 states/eV/f.u.
Volume ... 66.95 Å³/cell
Total moment ... 0.00 μB per atom
Theoretical density ... 14.86 g/cm³
Symmetry ... No. 123

Cell: 4.828 4.828 2.873 Å, 90.00 90.00 90.00°
Fractional coordinates of all 4 atoms:
Al  0.000  0.000  0.000
Tl  0.500  0.500  0.000
W  0.000  0.500  0.500
W  0.500  0.000  0.500

The structure with the most favorable energy is version A; the runner-up is 27.7 kJ/mol of atoms above it.

Version A
Compound: Al2TlZn
Source: the Alexandria database
Functional: meta-GGA SCAN
Structure: single point on PBEsol structure

## Properties
DOS(E_F) ... 1.27 states/eV/f.u.
Volume ... 77.84 Å³/cell
Total moment ... 0.00 μB per atom
Theoretical density ... 6.91 g/cm³
Symmetry ... No. 25

Cell: 2.883 3.887 6.945 Å, 90.00 90.00 90.00°
Fractional coordinates of all 4 atoms:
Al  0.000  0.000  0.000
Al  0.500  0.500  0.213
Tl  0.000  0.000  0.521
Zn  0.500  0.500  0.812

Version B
Compound: Al2TlZn
Source: the Alexandria database
Functional: meta-GGA SCAN
Structure: single point on PBEsol structure

## Properties
DOS(E_F) ... 1.55 states/eV/f.u.
Volume ... 155.94 Å³/cell
Total moment ... 0.00 μB per atom
Theoretical density ... 6.90 g/cm³
Symmetry ... No. 44

Cell: 3.078 5.120 9.894 Å, 90.00 90.00 90.00°
Fractional coordinates of all 8 atoms:
Al  0.000  0.000  0.000
Al  0.000  0.500  0.261
Al  0.500  0.000  0.761
Al  0.500  0.500  0.500
Tl  0.000  0.500  0.778
Tl  0.500  0.000  0.278
Zn  0.000  0.000  0.540
Zn  0.500  0.500  0.040

The structure with the most favorable energy is version A; the runner-up is 8.0 kJ/mol of atoms above it.

Version A
Compound: ZrAl2Tl
Source: the Alexandria database
Functional: meta-GGA SCAN
Structure: single point on PBEsol structure

## Properties
DOS(E_F) ... 1.53 states/eV/f.u.
Volume ... 83.17 Å³/cell
Total moment ... 0.00 μB per atom
Theoretical density ... 6.98 g/cm³
Symmetry ... No. 123

Cell: 3.035 3.035 9.030 Å, 90.00 90.00 90.00°
Fractional coordinates of all 4 atoms:
Zr  0.000  0.000  0.000
Al  0.500  0.500  0.221
Al  0.500  0.500  0.779
Tl  0.000  0.000  0.500

Version B
Compound: ZrAl2Tl
Source: the Alexandria database
Functional: meta-GGA SCAN
Structure: single point on PBEsol structure

## Properties
DOS(E_F) ... 1.26 states/eV/f.u.
Volume ... 77.85 Å³/cell
Total moment ... 0.00 μB per atom
Theoretical density ... 7.46 g/cm³
Symmetry ... No. 25

Cell: 3.205 3.929 6.181 Å, 90.00 90.00 90.00°
Fractional coordinates of all 4 atoms:
Zr  0.000  0.000  0.000
Al  0.000  0.000  0.463
Al  0.500  0.500  0.241
Tl  0.500  0.500  0.714

The structure with the most favorable energy is version B; the runner-up is 7.8 kJ/mol of atoms above it.

Version A
Compound: Al8V5
Source: the Alexandria database
Functional: meta-GGA SCAN
Structure: single point on PBEsol structure

## Properties
DOS(E_F) ... 3.88 states/eV/f.u.
Volume ... 376.72 Å³/cell
Total moment ... 0.20 μB per atom
Theoretical density ... 4.15 g/cm³
Symmetry ... No. 217

Cell: 7.880 7.880 7.880 Å, 109.47 109.47 109.47°
Fractional coordinates of all 26 atoms:
Al  0.000  0.000  0.777
Al  0.000  0.291  0.657
Al  0.000  0.657  0.291
Al  0.000  0.777  0.000
Al  0.223  0.223  0.223
Al  0.291  0.000  0.657
Al  0.291  0.657  0.000
Al  0.343  0.343  0.635
Al  0.343  0.635  0.343
Al  0.365  0.709  0.709
Al  0.635  0.343  0.343
Al  0.657  0.000  0.291
Al  0.657  0.291  0.000
Al  0.709  0.365  0.709
Al  0.709  0.709  0.365
Al  0.777  0.000  0.000
V  0.000  0.000  0.347
V  0.000  0.347  0.000
V  0.000  0.349  0.349
V  0.000  0.651  0.651
V  0.347  0.000  0.000
V  0.349  0.000  0.349
V  0.349  0.349  0.000
V  0.651  0.000  0.651
V  0.651  0.651  0.000
V  0.653  0.653  0.653

Version B
Compound: Al8V5
Source: the Alexandria database
Functional: meta-GGA SCAN
Structure: single point on PBEsol structure

## Properties
DOS(E_F) ... 4.71 states/eV/f.u.
Volume ... 383.21 Å³/cell
Total moment ... 0.00 μB per atom
Theoretical density ... 4.08 g/cm³
Symmetry ... No. 8

Cell: 7.932 7.932 7.867 Å, 108.83 108.83 110.28°
Fractional coordinates of all 26 atoms:
Al  0.000  0.000  0.000
Al  0.089  0.354  0.954
Al  0.107  0.697  0.616
Al  0.348  0.993  0.246
Al  0.354  0.089  0.954
Al  0.354  0.703  0.339
Al  0.592  0.592  0.187
Al  0.601  0.957  0.865
Al  0.697  0.107  0.616
Al  0.701  0.701  0.601
Al  0.703  0.354  0.339
Al  0.728  0.989  0.250
Al  0.957  0.601  0.865
Al  0.989  0.728  0.250
Al  0.993  0.348  0.246
Al  0.993  0.993  0.602
V  0.009  0.339  0.595
V  0.138  0.138  0.394
V  0.339  0.009  0.595
V  0.340  0.340  0.796
V  0.348  0.348  0.269
V  0.349  0.689  0.953
V  0.350  0.547  0.597
V  0.547  0.350  0.597
V  0.685  0.685  0.933
V  0.689  0.349  0.953

The structure with the most favorable energy is version A; the runner-up is 3.4 kJ/mol of atoms above it.

Version A
Compound: YAl2W
Source: the Alexandria database
Functional: meta-GGA SCAN
Structure: single point on PBEsol structure

## Properties
DOS(E_F) ... 2.05 states/eV/f.u.
Volume ... 142.24 Å³/cell
Total moment ... 0.00 μB per atom
Theoretical density ... 7.63 g/cm³
Symmetry ... No. 65

Cell: 5.897 8.307 2.904 Å, 90.00 90.00 90.00°
Fractional coordinates of all 8 atoms:
Y  0.000  0.000  0.000
Y  0.500  0.500  0.000
Al  0.250  0.250  0.500
Al  0.250  0.750  0.500
Al  0.750  0.250  0.500
Al  0.750  0.750  0.500
W  0.000  0.500  0.000
W  0.500  0.000  0.000

Version B
Compound: YAl2W
Source: the Alexandria database
Functional: meta-GGA SCAN
Structure: single point on PBEsol structure

## Properties
DOS(E_F) ... 2.67 states/eV/f.u.
Volume ... 142.73 Å³/cell
Total moment ... 0.00 μB per atom
Theoretical density ... 7.60 g/cm³
Symmetry ... No. 8

Cell: 10.294 2.797 5.113 Å, 90.00 104.20 90.00°
Fractional coordinates of all 8 atoms:
Y  0.000  0.000  0.000
Y  0.500  0.500  0.000
Al  0.260  0.500  0.204
Al  0.475  0.000  0.499
Al  0.760  0.000  0.204
Al  0.975  0.500  0.499
W  0.218  0.000  0.659
W  0.718  0.500  0.659

Version C
Compound: YAl2W
Source: the Alexandria database
Functional: meta-GGA SCAN
Structure: single point on PBEsol structure

## Properties
DOS(E_F) ... 2.61 states/eV/f.u.
Volume ... 220.21 Å³/cell
Total moment ... 0.00 μB per atom
Theoretical density ... 7.39 g/cm³
Symmetry ... No. 166

Cell: 2.952 2.952 29.186 Å, 90.00 90.00 120.00°
Fractional coordinates of all 12 atoms:
Y  0.000  0.000  0.000
Y  0.333  0.667  0.667
Y  0.667  0.333  0.333
Al  0.000  0.000  0.241
Al  0.000  0.000  0.759
Al  0.333  0.667  0.426
Al  0.333  0.667  0.907
Al  0.667  0.333  0.093
Al  0.667  0.333  0.574
W  0.000  0.000  0.500
W  0.333  0.667  0.167
W  0.667  0.333  0.833

The structure with the most favorable energy is version A; the runner-up is 4.7 kJ/mol of atoms above it.